Entry 1:
Below is a relaxed PdSe crystal, with properties calculated at the GGA-PBE level.

The structure in extended XYZ format:
```
4
Lattice="2.777 0.000 0.000 0.000 3.962 0.000 0.000 0.000 7.251" Properties=species:S:1:pos:R:3 pbc="T T T"
Se 0.000 1.981 5.802
Se 1.388 0.000 1.449
Pd 0.000 0.000 4.377
Pd 1.388 1.981 2.874
```

Properties
The calculation puts the total energy at -17.84 eV/cell. Its space-group type is Pmmn, No. 59.

***

Entry 2:
Below is a relaxed PdSe2 crystal, with properties calculated at the GGA-PBE level.

The structure in extended XYZ format:
```
3
Lattice="1.777 1.026 5.509 -1.777 1.026 5.509 0.000 -2.052 5.509" Properties=species:S:1:pos:R:3 pbc="T T T"
Pd 0.000 0.000 5.491
Se 0.000 0.000 9.477
Se 0.000 0.000 12.573
```

Properties
The calculation puts the total energy at -12.24 eV/cell. Its space-group type is R3m, No. 160.

***

Entry 3:
Below is a relaxed Pd2Se crystal, with properties calculated at the GGA-PBE level.

The structure in extended XYZ format:
```
6
Lattice="0.000 3.735 3.735 3.735 0.000 3.735 3.735 3.735 0.000" Properties=species:S:1:pos:R:3 pbc="T T T"
Pd 2.801 4.668 2.801
Pd 4.668 4.668 4.668
Pd 2.801 2.801 4.668
Pd 4.668 2.801 2.801
Se 0.000 0.000 0.000
Se 1.867 1.867 1.867
```

Properties
As for the relative energy among the computed polymorphs: 465 meV per atom. The calculation puts the total energy at -25.51 eV/cell. Its space-group type is Fd-3m, No. 227.

***

Entry 4:
Below is a relaxed PdSe2 crystal, with properties calculated at the GGA-PBE level.

The structure in extended XYZ format:
```
6
Lattice="2.403 0.559 5.040 -1.450 5.421 0.092 -3.912 -3.938 -0.823" Properties=species:S:1:pos:R:3 pbc="T T T"
Pd -0.516 -0.195 3.392
Pd 0.000 0.000 0.000
Se -0.763 3.168 4.125
Se -0.701 3.231 0.969
Se -2.496 -2.685 2.057
Se -1.957 0.369 1.469
```

Properties
The calculation puts the total energy at -23.56 eV/cell. Its space-group type is I-4, No. 82.

***

Entry 5:
Below is a relaxed PdSe2 crystal, with properties calculated at the GGA-PBE level.

The structure in extended XYZ format:
```
3
Lattice="-2.061 1.855 -0.448 -2.557 -1.987 3.542 3.028 3.597 0.964" Properties=species:S:1:pos:R:3 pbc="T T T"
Se 0.137 2.665 1.599
Se -1.728 0.800 2.460
Pd 0.470 1.610 4.506
```

Properties
The calculation puts the total energy at -11.05 eV/cell. Its space-group type is Cmmm, No. 65.

***

Entry 6:
Below is a relaxed Pd2Se crystal, with properties calculated at the GGA-PBE level.

The structure in extended XYZ format:
```
3
Lattice="0.000 2.993 2.993 2.993 0.000 2.993 2.993 2.993 0.000" Properties=species:S:1:pos:R:3 pbc="T T T"
Se 0.000 0.000 0.000
Pd 1.496 1.496 1.496
Pd 4.489 4.489 4.489
```

Properties
As for the relative energy among the computed polymorphs: 0 meV per atom. The calculation puts the total energy at -14.15 eV/cell. Its space-group type is Fm-3m, No. 225.